Record 1
Material: MgSn2BAu
Method: DFT, PBE
State: optimized geometry

a b c (Å): 5.4185 4.2388 5.4185
angles (deg): 90.00 90.00 90.00
Last column: nearest neighbours and their distance in Å.
Element x y z (fractional)
Mg: 0.0000 0.0000 0.0000  2 B 2.12
B: 0.0000 0.5000 0.0000  2 Mg 2.12
Au: 0.5000 0.5000 0.5000  8 Sn 3.44, 4 B 3.83
Sn: 0.0000 0.0000 0.5000  2 Mg 2.71
Sn: 0.5000 0.0000 0.0000  2 Mg 2.71

Computed properties:
The calculation puts the mass density at 6.265 Mg/m³. The calculation puts the volume at 124 Å³ per cell. The value obtained for the energy of formation from the pure elements is 1.035 eV per atom. For the total energy, the calculation gives -2.88 eV per atom.


Record 2
Material: CaTc2Br
Method: DFT, PBE
State: optimized geometry

a b c (Å): 6.1356 6.1356 4.4683
angles (deg): 101.88 101.88 33.52
Last column: nearest neighbours and their distance in Å.
Element x y z (fractional)
Ca: 0.7500 0.7500 0.7500  4 Br 2.85, 2 Tc 3.19
Tc: 0.0281 0.0281 0.9184  2 Tc 2.32
Tc: 0.4719 0.4719 0.5816  2 Tc 2.32
Br: 0.2500 0.2500 0.2500  2 Tc 2.71, 4 Ca 2.85

Computed properties:
The uncorrected formation energy is 0.91 eV/f.u. The calculation puts the mass density at 5.784 Mg/m³. The calculation puts the volume at 91 Å³ per cell. For the total energy, the calculation gives -5.87 eV per atom.


Record 3
Material: YTePb2
Method: DFT, PBE
State: optimized geometry

a b c (Å): 6.4612 4.4268 4.4327
angles (deg): 91.46 90.00 90.00
Last column: nearest neighbours and their distance in Å.
Element x y z (fractional)
Pb: 0.0000 0.9947 0.9946  4 Pb 3.03-3.17
Pb: 0.0000 0.5053 0.5054  4 Pb 3.03-3.17
Te: 0.5000 0.2500 0.2500  4 Y 3.09-3.17
Y: 0.5000 0.7500 0.7500  4 Te 3.09-3.17

Computed properties:
The uncorrected formation energy is -1.77 eV/f.u. The calculation puts the mass density at 8.266 Mg/m³. The calculation puts the volume at 127 Å³ per cell. For the total energy, the calculation gives -4.70 eV per atom.